BaPaGe | GGA-PBE | relaxed

Lattice parameters (Å, degrees): 5.171 5.171 5.171 60.00 60.00 60.00
Positions (direct):
Ba: 0.250 0.250 0.250
Ge: 0.000 0.000 0.000
Pa: 0.750 0.750 0.750

space-group type	No. 216
excess energy over the best structure of this formula in the dataset	0.000	eV/atom
calculated volume	32.6	A^3/atom
total DFT energy (no corrections)	-14.9	eV for the cell shown

FeGe2Ir | GGA-PBE | relaxed

Lattice parameters (Å, degrees): 4.391 4.391 4.391 60.00 60.00 60.00
Each line ends with the local moment (μB).
Positions (direct):
Fe: 0.750 0.750 0.750  2.46
Ge: 0.000 0.000 0.000  -0.06
Ge: 0.250 0.250 0.250  -0.02
Ir: 0.500 0.500 0.500  0.26

space-group type	No. 216
calculated volume	15.0	A^3/atom
total DFT energy (no corrections)	-25.5	eV for the cell shown

ScZnNiPt | GGA-PBE | relaxed

Lattice parameters (Å, degrees): 4.430 4.430 4.430 60.00 60.00 60.00
Positions (direct):
Ni: 0.750 0.750 0.750
Pt: 0.500 0.500 0.500
Sc: 0.250 0.250 0.250
Zn: 0.000 0.000 0.000

space-group type	No. 216
excess energy over the best structure of this formula in the dataset	0.184	eV/atom
calculated volume	15.4	A^3/atom
total DFT energy (no corrections)	-21.3	eV for the cell shown

LuFeBW | GGA-PBE | relaxed

Lattice parameters (Å, degrees): 4.273 4.273 4.273 60.00 60.00 60.00
Positions (direct):
B: 0.000 0.000 0.000
Fe: 0.750 0.750 0.750
Lu: 0.500 0.500 0.500
W: 0.250 0.250 0.250

space-group type	No. 216
excess energy over the best structure of this formula in the dataset	0.093	eV/atom
calculated volume	13.8	A^3/atom
total DFT energy (no corrections)	-28.6	eV for the cell shown

PrLu2Al7Cu2 | GGA-PBE | relaxed

Lattice parameters (Å, degrees): 9.038 9.038 9.038 35.28 35.28 35.28
Positions (direct):
Al: 0.584 0.584 0.074
Al: 0.926 0.416 0.416
Al: 0.416 0.926 0.416
Al: 0.500 0.500 0.500
Al: 0.584 0.074 0.584
Al: 0.074 0.584 0.584
Al: 0.416 0.416 0.926
Cu: 0.335 0.335 0.335
Cu: 0.665 0.665 0.665
Lu: 0.142 0.142 0.142
Lu: 0.858 0.858 0.858
Pr: 0.000 0.000 0.000

space-group type	No. 166
calculated volume	18.3	A^3/atom
total DFT energy (no corrections)	-53.2	eV for the cell shown

KDyMo | GGA-PBE | relaxed

Lattice parameters (Å, degrees): 5.280 5.280 5.280 60.00 60.00 60.00
Positions (direct):
Dy: 0.250 0.250 0.250
K: 0.750 0.750 0.750
Mo: 0.000 0.000 0.000

space-group type	No. 216
excess energy over the best structure of this formula in the dataset	0.000	eV/atom
calculated volume	34.7	A^3/atom
total DFT energy (no corrections)	-11.5	eV for the cell shown

Copy entry 5 word for word.
PrLu2Al7Cu2 | GGA-PBE | relaxed

Lattice parameters (Å, degrees): 9.038 9.038 9.038 35.28 35.28 35.28
Positions (direct):
Al: 0.584 0.584 0.074
Al: 0.926 0.416 0.416
Al: 0.416 0.926 0.416
Al: 0.500 0.500 0.500
Al: 0.584 0.074 0.584
Al: 0.074 0.584 0.584
Al: 0.416 0.416 0.926
Cu: 0.335 0.335 0.335
Cu: 0.665 0.665 0.665
Lu: 0.142 0.142 0.142
Lu: 0.858 0.858 0.858
Pr: 0.000 0.000 0.000

space-group type	No. 166
calculated volume	18.3	A^3/atom
total DFT energy (no corrections)	-53.2	eV for the cell shown

> Which of these has the lowest total DFT energy (no corrections)?

PrLu2Al7Cu2

> What is the formula in the sixth record?

KDyMo

> Number 2 is which compound?

FeGe2Ir